(1)
First-principles (GGA-PBE) data for a geometry-optimized Cd5AgPt6 structure, as listed in the Alexandria database.

## Properties
As for the formation energy: -0.27 eV per atom. Its symmetry is Immm, No. 71. As for the spin magnetization: 0.00 μB/cell.

a b c (Å): 4.212 7.869 7.713
angles (deg): 120.67 105.85 90.00
Positions (direct):
Pt (0.833, 0.581, 0.666)
Pt (0.833, 0.085, 0.666)
Pt (0.500, 0.745, 0.000)
Pt (0.500, 0.255, 0.000)
Pt (0.167, 0.915, 0.334)
Pt (0.167, 0.419, 0.334)
Ag (0.000, 0.000, 0.000)
Cd (0.661, 0.161, 0.322)
Cd (0.331, 0.331, 0.662)
Cd (0.000, 0.500, 0.000)
Cd (0.669, 0.669, 0.338)
Cd (0.339, 0.839, 0.678)

(2)
First-principles (GGA-PBE) data for a geometry-optimized RbTe2Pb structure, as listed in the Alexandria database.

## Properties
Its symmetry is P4/mmm, No. 123. The formation energy without anion corrections comes out at -0.441 eV per atom. As for the spin magnetization: 0.00 μB/cell.

a b c (Å): 3.964 3.964 9.131
angles (deg): 90.00 90.00 90.00
Positions (direct):
Pb (0.500, 0.500, 0.000)
Te (0.000, 0.000, 0.782)
Te (0.000, 0.000, 0.218)
Rb (0.500, 0.500, 0.500)

(3)
First-principles (GGA-PBE) data for a geometry-optimized ErPuPa2 structure, as listed in the Alexandria database.

## Properties
As for the formation energy: 0.18 eV per atom. Its symmetry is P4/mmm, No. 123. As for the spin magnetization: 5.05 μB/cell.

a b c (Å): 4.733 4.641 4.641
angles (deg): 90.00 90.00 90.00
Each line ends with the local moment (μB).
Positions (direct):
Er (0.500, 0.000, 0.000)  0.00
Pa (0.000, 0.000, 0.500)  0.09
Pa (0.000, 0.500, 0.000)  0.09
Pu (0.500, 0.500, 0.500)  -5.08

(4)
First-principles (GGA-PBE) data for a geometry-optimized ErReC structure, as listed in the Alexandria database.

## Properties
As for the formation energy: -0.11 eV per atom. Its symmetry is C2/m, No. 12. As for the spin magnetization: 0.00 μB/cell.

a b c (Å): 3.197 5.144 6.002
angles (deg): 73.48 74.52 71.83
Positions (direct):
Re (0.180, 0.220, 0.420)
Re (0.820, 0.780, 0.580)
C (0.818, 0.152, 0.213)
C (0.182, 0.848, 0.787)
Er (0.575, 0.706, 0.143)
Er (0.425, 0.294, 0.857)

(5)
First-principles (GGA-PBE) data for a geometry-optimized La2MnAl structure, as listed in the Alexandria database.

## Properties
As for the formation energy: 0.03 eV per atom. Its symmetry is P4mm, No. 99. As for the spin magnetization: 3.27 μB/cell.

a b c (Å): 3.408 3.408 8.780
angles (deg): 90.00 90.00 90.00
Each line ends with the local moment (μB).
Positions (direct):
Mn (0.000, 0.000, 0.552)  3.29
Al (0.500, 0.500, 0.690)  -0.04
La (0.000, 0.000, 0.944)  0.08
La (0.500, 0.500, 0.314)  -0.17

(6)
First-principles (GGA-PBE) data for a geometry-optimized GdPuMn2 structure, as listed in the Alexandria database.

## Properties
As for the formation energy: 0.13 eV per atom. Its symmetry is P4/mmm, No. 123. As for the spin magnetization: 7.06 μB/cell.

a b c (Å): 3.382 4.876 4.876
angles (deg): 90.00 90.00 90.00
Each line ends with the local moment (μB).
Positions (direct):
Gd (0.500, 0.000, 0.000)  7.34
Mn (0.000, 0.000, 0.500)  -3.03
Mn (0.000, 0.500, 0.000)  -3.03
Pu (0.500, 0.500, 0.500)  5.38

(7)
First-principles (GGA-PBE) data for a geometry-optimized CsRbS2Cl structure, as listed in the Alexandria database.

## Properties
Its symmetry is P4/mmm, No. 123. The formation energy without anion corrections comes out at -0.241 eV per atom. As for the spin magnetization: 3.00 μB/cell.

a b c (Å): 6.338 6.338 6.199
angles (deg): 90.00 90.00 90.00
Each line ends with the local moment (μB).
Positions (direct):
Cs (0.500, 0.500, 0.500)  0.00
S (0.000, 0.500, 0.000)  0.80
S (0.500, 0.000, 0.000)  0.80
Rb (0.000, 0.000, 0.000)  0.02
Cl (0.000, 0.000, 0.500)  0.09

(8)
First-principles (GGA-PBE) data for a geometry-optimized PmVAs structure, as listed in the Alexandria database.

## Properties
As for the formation energy: -0.25 eV per atom. Its symmetry is Pnma, No. 62. As for the spin magnetization: 11.51 μB/cell.

a b c (Å): 4.668 4.668 13.037
angles (deg): 90.00 90.00 90.00
Each line ends with the local moment (μB).
Positions (direct):
As (0.750, 0.752, 0.250)  -0.09
As (0.750, 0.748, 0.750)  -0.09
As (0.250, 0.252, 0.250)  -0.09
As (0.250, 0.248, 0.750)  -0.09
V (0.750, 0.252, 0.336)  2.23
V (0.750, 0.248, 0.836)  2.23
V (0.250, 0.752, 0.164)  2.23
V (0.250, 0.748, 0.664)  2.23
Pm (0.750, 0.251, 0.092)  0.16
Pm (0.750, 0.249, 0.592)  0.16
Pm (0.250, 0.749, 0.908)  0.16
Pm (0.250, 0.751, 0.408)  0.16

(9)
First-principles (GGA-PBE) data for a geometry-optimized HoNiC structure, as listed in the Alexandria database.

## Properties
As for the formation energy: -0.18 eV per atom. Its symmetry is P-6m2, No. 187. As for the spin magnetization: 0.00 μB/cell.

a b c (Å): 3.767 3.512 3.512
angles (deg): 120.00 90.00 90.00
Positions (direct):
Ni (0.167, 0.333, 0.667)
C (0.167, 0.000, 0.000)
Ho (0.666, 0.667, 0.333)

(10)
First-principles (GGA-PBE) data for a geometry-optimized Cd2TcMo structure, as listed in the Alexandria database.

## Properties
As for the formation energy: 0.39 eV per atom. Its symmetry is Imm2, No. 44. As for the spin magnetization: 0.00 μB/cell.

a b c (Å): 5.487 5.487 5.487
angles (deg): 145.83 127.17 64.44
Positions (direct):
Cd (0.990, 0.990, 0.000)
Cd (0.258, 0.758, 0.500)
Mo (0.528, 0.528, 0.000)
Tc (0.724, 0.224, 0.500)

(11)
First-principles (GGA-PBE) data for a geometry-optimized AcYPb2 structure, as listed in the Alexandria database.

## Properties
As for the formation energy: -0.36 eV per atom. Its symmetry is R3m, No. 160. As for the spin magnetization: 0.00 μB/cell.

a b c (Å): 4.912 4.912 7.713
angles (deg): 71.43 71.43 60.00
Positions (direct):
Ac (0.671, 0.671, 0.988)
Y (0.495, 0.495, 0.514)
Pb (0.094, 0.094, 0.719)
Pb (0.240, 0.240, 0.279)

(12)
First-principles (GGA-PBE) data for a geometry-optimized AcPaSbPt structure, as listed in the Alexandria database.

## Properties
Its symmetry is F-43m, No. 216. The formation energy without anion corrections comes out at -0.465 eV per atom. As for the spin magnetization: 2.73 μB/cell.

a b c (Å): 5.377 5.377 5.377
angles (deg): 60.00 60.00 60.00
Each line ends with the local moment (μB).
Positions (direct):
Sb (0.750, 0.750, 0.750)  -0.01
Ac (0.000, 0.000, 0.000)  0.22
Pa (0.500, 0.500, 0.500)  1.56
Pt (0.250, 0.250, 0.250)  0.05

(13)
First-principles (GGA-PBE) data for a geometry-optimized SrSb2Rh structure, as listed in the Alexandria database.

## Properties
Its symmetry is I-42d, No. 122. The formation energy without anion corrections comes out at -0.350 eV per atom. As for the spin magnetization: 0.00 μB/cell.

a b c (Å): 5.294 5.294 9.558
angles (deg): 73.92 73.92 90.00
Positions (direct):
Sb (0.756, 0.125, 0.250)
Sb (0.994, 0.625, 0.250)
Sb (0.375, 0.244, 0.750)
Sb (0.875, 0.006, 0.750)
Rh (0.000, 0.000, 0.000)
Rh (0.750, 0.250, 0.500)
Sr (0.500, 0.500, 0.000)
Sr (0.250, 0.750, 0.500)

(14)
First-principles (GGA-PBE) data for a geometry-optimized Sm12Tl5Hg2 structure, as listed in the Alexandria database.

## Properties
As for the formation energy: -0.16 eV per atom. Its symmetry is C2/m, No. 12. As for the spin magnetization: 0.00 μB/cell.

a b c (Å): 7.500 9.475 9.286
angles (deg): 84.05 90.00 113.32
Positions (direct):
Sm (0.959, 0.918, 0.191)
Sm (0.077, 0.673, 0.915)
Sm (0.596, 0.673, 0.915)
Sm (0.104, 0.701, 0.501)
Sm (0.597, 0.701, 0.501)
Sm (0.494, 0.987, 0.692)
Sm (0.506, 0.013, 0.308)
Sm (0.896, 0.299, 0.499)
Sm (0.403, 0.299, 0.499)
Sm (0.923, 0.327, 0.085)
Sm (0.404, 0.327, 0.085)
Sm (0.041, 0.082, 0.809)
Tl (0.229, 0.458, 0.747)
Tl (0.305, 0.610, 0.231)
Tl (0.000, 0.000, 0.500)
Tl (0.695, 0.390, 0.769)
Tl (0.771, 0.542, 0.253)
Hg (0.684, 0.000, 0.000)
Hg (0.316, 0.000, 0.000)

(15)
First-principles (GGA-PBE) data for a geometry-optimized NaSbSe2N structure, as listed in the Alexandria database.

## Properties
Its symmetry is P4/mmm, No. 123. The formation energy without anion corrections comes out at 0.359 eV per atom. As for the spin magnetization: 1.31 μB/cell.

a b c (Å): 5.426 5.426 4.126
angles (deg): 90.00 90.00 90.00
Each line ends with the local moment (μB).
Positions (direct):
Sb (0.000, 0.000, 0.000)  -0.04
N (0.000, 0.000, 0.500)  0.59
Se (0.000, 0.500, 0.000)  0.17
Se (0.500, 0.000, 0.000)  0.17
Na (0.500, 0.500, 0.500)  0.00

(16)
First-principles (GGA-PBE) data for a geometry-optimized Al3AsRu structure, as listed in the Alexandria database.

## Properties
As for the formation energy: 0.21 eV per atom. Its symmetry is Pm-3m, No. 221. As for the spin magnetization: 0.00 μB/cell.

a b c (Å): 4.685 4.685 4.685
angles (deg): 90.00 90.00 90.00
Positions (direct):
Ru (0.000, 0.000, 0.000)
As (0.500, 0.500, 0.500)
Al (0.000, 0.500, 0.000)
Al (0.000, 0.000, 0.500)
Al (0.500, 0.000, 0.000)

(17)
First-principles (GGA-PBE) data for a geometry-optimized BiC2O structure, as listed in the Alexandria database.

## Properties
Its symmetry is Fm-3m, No. 225. The formation energy without anion corrections comes out at 2.516 eV per atom. As for the spin magnetization: 0.00 μB/cell.

a b c (Å): 4.099 4.099 4.099
angles (deg): 60.00 60.00 60.00
Positions (direct):
C (0.250, 0.250, 0.250)
C (0.750, 0.750, 0.750)
Bi (0.500, 0.500, 0.500)
O (0.000, 0.000, 0.000)

(18)
First-principles (GGA-PBE) data for a geometry-optimized SmErBr2 structure, as listed in the Alexandria database.

## Properties
Its symmetry is R-3m, No. 166. The formation energy without anion corrections comes out at -1.024 eV per atom. As for the spin magnetization: 0.00 μB/cell.

a b c (Å): 3.694 3.694 10.242
angles (deg): 79.61 79.61 60.00
Positions (direct):
Br (0.095, 0.095, 0.716)
Br (0.905, 0.905, 0.284)
Sm (0.500, 0.500, 0.500)
Er (0.000, 0.000, 0.000)

(19)
First-principles (GGA-PBE) data for a geometry-optimized BaIn2Ru structure, as listed in the Alexandria database.

## Properties
As for the formation energy: 0.50 eV per atom. Its symmetry is Cmmm, No. 65. As for the spin magnetization: 0.00 μB/cell.

a b c (Å): 5.504 5.504 3.633
angles (deg): 90.00 90.00 110.54
Positions (direct):
Ba (0.000, 0.500, 0.500)
In (0.000, 0.000, 0.000)
In (0.500, 0.500, 0.000)
Ru (0.500, 0.000, 0.500)

(20)
First-principles (GGA-PBE) data for a geometry-optimized LaSm2Y7 structure, as listed in the Alexandria database.

## Properties
As for the formation energy: 0.02 eV per atom. Its symmetry is P-1, No. 2. As for the spin magnetization: 0.00 μB/cell.

a b c (Å): 6.238 9.524 9.533
angles (deg): 141.81 71.05 102.54
Positions (direct):
La (0.000, 0.000, 0.000)
Sm (0.501, 0.901, 0.599)
Sm (0.499, 0.099, 0.401)
Y (0.001, 0.600, 0.398)
Y (0.999, 0.400, 0.602)
Y (0.500, 0.698, 0.798)
Y (0.500, 0.302, 0.202)
Y (0.999, 0.799, 0.201)
Y (0.001, 0.201, 0.799)
Y (0.500, 0.500, 0.000)